Crystalline CaRh2Cl at its relaxed geometry. Source: the Alexandria database, functional PBE.

```
data_CaRh2Cl
_chemical_formula_sum 'Ca2 Rh4 Cl2'
_cell_length_a 10.830
_cell_length_b 3.098
_cell_length_c 4.353
_cell_angle_alpha 90.00
_cell_angle_beta 90.87
_cell_angle_gamma 90.00
_symmetry_space_group_name_H-M 'C 1 2/m 1'
_symmetry_Int_Tables_number 12
loop_
_symmetry_equiv_pos_as_xyz
'x,y,z'
'-x,-y,-z'
'-x,y,-z'
'x,-y,z'
'x+1/2,y+1/2,z'
'-x+1/2,-y+1/2,-z'
'-x+1/2,y+1/2,-z'
'x+1/2,-y+1/2,z'
loop_
_atom_site_label
_atom_site_type_symbol
_atom_site_fract_x
_atom_site_fract_y
_atom_site_fract_z
Ca1 Ca 0.000 0.000 0.000
Rh1 Rh 0.220 0.500 0.766
Cl1 Cl 0.000 0.500 0.500
```

As for the energy relative to the elements, uncorrected: -320 meV/atom. The density of states at the Fermi level is 1.01 states/eV/atom.